Record 1
KRbFeI5 | GGA-PBE | optimized geometry

Cell lengths 10.5966, 10.5966, 8.9182 Å; angles 109.18, 109.18, 107.70 degrees
Last column: nearest neighbours and their distance in Å.
Sites, in units of the cell vectors:
1 K 0.0000 0.5000 0.0000  6 I 3.56-3.76
2 K 0.5000 0.0000 0.5000  6 I 3.56-3.76
3 Rb 0.1023 0.8977 0.7500  5 I 3.65-3.90
4 Rb 0.8977 0.1023 0.2500  5 I 3.65-3.90
5 Fe 0.3890 0.6110 0.7500  4 I 2.53-2.60
6 Fe 0.6110 0.3890 0.2500  4 I 2.53-2.60
7 I 0.1109 0.8891 0.2500  2 K 3.56, 1 Rb 3.65
8 I 0.2475 0.6553 0.4887  1 Fe 2.60
9 I 0.2810 0.3342 0.6615  1 Fe 2.53
10 I 0.3342 0.2810 0.1615  1 Fe 2.53
11 I 0.3447 0.7525 0.0113  1 Fe 2.60
12 I 0.6553 0.2475 0.9887  1 Fe 2.60
13 I 0.6658 0.7190 0.8385  1 Fe 2.53
14 I 0.7190 0.6658 0.3385  1 Fe 2.53
15 I 0.7525 0.3447 0.5113  1 Fe 2.60
16 I 0.8891 0.1109 0.7500  2 K 3.56, 1 Rb 3.65

## Properties
* space-group type: C2/c, No. 15
* uncorrected formation energy: -0.8052 eV/atom

Record 2
Er2HfTh | GGA-PBE | optimized geometry

Cell lengths 4.0117, 4.0117, 7.1238 Å; angles 90.00, 90.00, 90.00 degrees
Last column: nearest neighbours and their distance in Å.
Sites, in units of the cell vectors:
1 Er 0.0000 0.0000 0.2277  1 Er 3.24, 4 Hf 3.27, 4 Th 3.44
2 Er 0.0000 0.0000 0.7723  1 Er 3.24, 4 Hf 3.27, 4 Th 3.44
3 Hf 0.5000 0.5000 0.0000  8 Er 3.27, 2 Th 3.56
4 Th 0.5000 0.5000 0.5000  8 Er 3.44, 2 Hf 3.56

## Properties
* space-group type: P4/mmm, No. 123
* ΔH_f (0 K): 0.2424 eV/atom

Record 3
TiZn2B2Rh5 | GGA-PBE | optimized geometry

Cell lengths 9.4070, 9.4070, 2.9190 Å; angles 90.00, 90.00, 90.00 degrees
Last column: nearest neighbours and their distance in Å.
Sites, in units of the cell vectors:
1 Ti 0.0000 0.0000 0.0000  8 Rh 2.58
2 Ti 0.5000 0.5000 0.0000  8 Rh 2.58
3 Zn 0.1771 0.3229 0.0000  3 B 2.65-2.88, 10 Rh 2.77-2.95, 2 Zn 2.92
4 Zn 0.3229 0.8229 0.0000  3 B 2.65-2.88, 10 Rh 2.77-2.95, 2 Zn 2.92
5 Zn 0.6771 0.1771 0.0000  3 B 2.65-2.88, 10 Rh 2.77-2.95, 2 Zn 2.92
6 Zn 0.8229 0.6771 0.0000  3 B 2.65-2.88, 10 Rh 2.77-2.95, 2 Zn 2.92
7 B 0.1239 0.6239 0.0000  6 Rh 2.16-2.20
8 B 0.3761 0.1239 0.0000  6 Rh 2.16-2.20
9 B 0.6239 0.8761 0.0000  6 Rh 2.16-2.20
10 B 0.8761 0.3761 0.0000  6 Rh 2.16-2.20
11 Rh 0.0000 0.5000 0.5000  4 B 2.20
12 Rh 0.0732 0.7856 0.5000  2 B 2.16
13 Rh 0.2144 0.0732 0.5000  2 B 2.16
14 Rh 0.2856 0.5732 0.5000  2 B 2.16
15 Rh 0.4268 0.2856 0.5000  2 B 2.16
16 Rh 0.5000 0.0000 0.5000  4 B 2.20
17 Rh 0.5732 0.7144 0.5000  2 B 2.16
18 Rh 0.7144 0.4268 0.5000  2 B 2.16
19 Rh 0.7856 0.9268 0.5000  2 B 2.16
20 Rh 0.9268 0.2144 0.5000  2 B 2.16

## Properties
* space-group type: P4/mbm, No. 127
* ΔH_f (0 K): -0.4487 eV/atom

Record 4
KPm2Nd3Se6 | GGA-PBE | optimized geometry

Cell lengths 9.5354, 9.5354, 8.6160 Å; angles 103.00, 103.00, 25.63 degrees
Last column: nearest neighbours and their distance in Å.
Sites, in units of the cell vectors:
1 K 0.0000 0.0000 0.0000  6 Se 3.09-3.11
2 Pm 0.3311 0.3311 0.6570  6 Se 2.96-3.07
3 Pm 0.6689 0.6689 0.3430  6 Se 2.96-3.07
4 Nd 0.0000 0.0000 0.5000  6 Se 2.95-3.00
5 Nd 0.3372 0.3372 0.1765  6 Se 2.97-3.08
6 Nd 0.6628 0.6628 0.8235  6 Se 2.97-3.08
7 Se 0.1660 0.1660 0.5825  3 Pm 2.96-2.99, 3 Nd 2.97-3.00
8 Se 0.1721 0.1721 0.0869  3 Nd 2.99-3.08, 2 Pm 3.07, 1 K 3.11
9 Se 0.4967 0.4967 0.7374  3 Nd 2.95-3.00, 1 Pm 3.00, 2 K 3.09
10 Se 0.5033 0.5033 0.2626  3 Nd 2.95-3.00, 1 Pm 3.00, 2 K 3.09
11 Se 0.8279 0.8279 0.9131  3 Nd 2.99-3.08, 2 Pm 3.07, 1 K 3.11
12 Se 0.8340 0.8340 0.4175  3 Pm 2.96-2.99, 3 Nd 2.97-3.00

## Properties
* space-group type: C2/m, No. 12
* uncorrected formation energy: -1.7846 eV/atom